FeAgHgF6 | PBE with a Hubbard U | optimized geometry

a = 5.8410 Å, b = 5.8410 Å, c = 9.5723 Å
α = 90.00°, β = 90.00°, γ = 120.00°
Site moments in Bohr magnetons follow the coordinates.
Positions (direct):
F (0.3404, 0.9515, 0.6367)  0.07
F (0.6111, 0.6596, 0.6367)  0.07
F (0.3889, 0.0485, 0.1367)  0.07
F (0.0485, 0.6596, 0.8633)  0.07
F (0.9515, 0.3404, 0.1367)  0.07
F (0.6111, 0.9515, 0.8633)  0.07
Hg (0.6667, 0.3333, 0.7500)  0.01
F (0.6596, 0.0485, 0.3633)  0.07
Ag (0.0000, 0.0000, 0.5000)  -0.05
F (0.9515, 0.6111, 0.3633)  0.07
F (0.0485, 0.3889, 0.6367)  0.07
Fe (0.3333, 0.6667, 0.7500)  4.44
Ag (0.0000, 0.0000, 0.0000)  -0.05
F (0.3889, 0.3404, 0.3633)  0.07
Fe (0.6667, 0.3333, 0.2500)  4.44
Hg (0.3333, 0.6667, 0.2500)  0.01
F (0.6596, 0.6111, 0.1367)  0.07
F (0.3404, 0.3889, 0.8633)  0.07

Properties
- Space group: P-31c (163)
- E_tot: -4.01 eV per atom